SrCa6: relaxed, PBE-GGA.

Output
Fermi-level density of states in states/eV/cell: 20.99
Mass density in g/cm3: 1.7
Space group: No. 125
Energy relative to the lowest polymorph listed for this composition in meV per atom: 145
Calculated formation energy in eV per atom: 0.1700

```
SrCa6
1.0
7.314 0.000 0.000
0.000 7.314 0.000
0.000 0.000 12.140
Sr Ca
2 12
direct
0.500 0.000 0.000
0.000 0.500 0.000
0.500 0.500 0.150
0.000 0.000 0.150
0.000 0.000 0.850
0.500 0.500 0.850
0.827 0.673 0.365
0.327 0.827 0.365
0.673 0.173 0.365
0.173 0.327 0.365
0.673 0.827 0.635
0.173 0.673 0.635
0.827 0.327 0.635
0.327 0.173 0.635
```

Sr2Ca: relaxed, PBE-GGA.

Output
Fermi-level density of states in states/eV/cell: 6.63
Mass density in g/cm3: 2.4
Space group: No. 8
Energy relative to the lowest polymorph listed for this composition in meV per atom: 6
Calculated formation energy in eV per atom: 0.0189

```
Sr2Ca
1.0
-3.740 -6.669 -2.425
-4.103 -6.684 1.682
-9.505 2.517 -0.832
Ca Sr
2 4
direct
0.998 0.998 0.005
0.336 0.336 0.327
0.666 0.666 0.667
0.611 0.611 0.276
0.942 0.942 0.609
0.280 0.280 0.949
```